Entry 1:
## LiSe3O9 (GGA-PBE)

Data for crystalline LiSe3O9 at its relaxed geometry.

Unit cell a=8.2648 b=8.2648 c=10.9132 alpha=127.23 beta=127.23 gamma=51.21
Sites, in units of the cell vectors:
Li1 0.1809 0.8191 0.5000
Li2 0.8191 0.1809 0.0000
Se1 0.0000 0.7656 0.6767
Se2 0.2083 0.3519 0.7892
Se3 0.3519 0.2083 0.2892
Se4 0.5207 0.7822 0.3893
Se5 0.7656 0.0000 0.1767
Se6 0.7822 0.5207 0.8893
O1 0.0559 0.4621 0.9600
O2 0.0789 0.8976 0.6698
O3 0.1024 0.1816 0.6117
O4 0.1816 0.1024 0.1117
O5 0.2237 0.5280 0.7131
O6 0.2284 0.4749 0.3869
O7 0.4492 0.7537 0.4836
O8 0.4621 0.0559 0.4600
O9 0.4665 0.6514 0.1922
O10 0.4749 0.2284 0.8869
O11 0.5280 0.2237 0.2131
O12 0.6449 0.8308 0.9687
O13 0.6514 0.4665 0.6922
O14 0.7537 0.4492 0.9836
O15 0.8308 0.6449 0.4687
O16 0.8602 0.9040 0.7946
O17 0.8976 0.0789 0.1698
O18 0.9040 0.8602 0.2946

## Properties
ΔE_f (raw)   -643.2 meV per atom
Symmetry   No. 9

***

Entry 2:
## Sr4ScBr (GGA-PBE)

Data for crystalline Sr4ScBr at its relaxed geometry.

Unit cell a=7.4578 b=7.4578 c=7.4578 alpha=60.00 beta=60.00 gamma=60.00
Sites, in units of the cell vectors:
Sr1 0.3763 0.3763 0.3763
Sr2 0.3763 0.3763 0.8712
Sr3 0.3763 0.8712 0.3763
Sr4 0.8712 0.3763 0.3763
Sc1 0.7500 0.7500 0.7500
Br1 0.0000 0.0000 0.0000

## Properties
ΔE_f (raw)   321.5 meV per atom
Symmetry   No. 216